Record 1
{
  "formula": "BaReNO2",
  "functional": "meta-GGA SCAN",
  "state": "PBEsol geometry",
  "lattice": [[3.908, 0.000, 0.000], [0.000, 4.057, 0.000], [0.000, 0.000, 4.057]],
  "species": ["Ba", "Re", "O", "O", "N"],
  "fractional_positions": [[0.500, 0.500, 0.500], [0.000, 0.000, 0.000], [0.000, 0.000, 0.500], [0.000, 0.500, 0.000], [0.500, 0.000, 0.000]],
  "e_tot_ev_per_atom": -28.123,
  "sg": "P4/mmm"
}

---

Record 2
{
  "formula": "BaMn2Rh",
  "functional": "meta-GGA SCAN",
  "state": "PBEsol geometry",
  "lattice": [[-1.948, -2.237, 3.161], [-1.110, -4.142, -0.642], [4.076, -3.795, 2.799]],
  "species": ["Mn", "Ba", "Rh", "Mn"],
  "fractional_positions": [[0.062, 0.062, 0.814], [0.246, 0.246, 0.263], [0.428, 0.428, 0.715], [0.764, 0.764, 0.708]],
  "e_tot_ev_per_atom": -27.502,
  "sg": "R3m"
}

---

Record 3
{
  "formula": "TiZn2Pt",
  "functional": "meta-GGA SCAN",
  "state": "PBEsol geometry",
  "lattice": [[4.300, 0.000, 0.000], [2.150, 3.724, 0.000], [2.150, 1.241, 3.511]],
  "species": ["Pt", "Ti", "Zn", "Zn"],
  "fractional_positions": [[0.500, 0.500, 0.500], [0.000, 0.000, 0.000], [0.750, 0.750, 0.750], [0.250, 0.250, 0.250]],
  "e_tot_ev_per_atom": -28.902,
  "sg": "Fm-3m"
}

---

Record 4
{
  "formula": "Ba2Li2Mg",
  "functional": "meta-GGA SCAN",
  "state": "PBEsol geometry",
  "lattice": [[-0.985, 2.173, 3.412], [-1.435, -3.471, 1.796], [10.893, -1.273, 1.417]],
  "species": ["Ba", "Mg", "Li", "Ba", "Li"],
  "fractional_positions": [[0.397, 0.397, 0.795], [0.000, 0.000, 0.000], [0.750, 0.250, 0.500], [0.603, 0.603, 0.205], [0.250, 0.750, 0.500]],
  "e_tot_ev_per_atom": -17.727,
  "sg": "I4/mmm"
}